Model i:
A geometry-optimized LiDy2Th structure, computed with PBE-GGA.

The space group is P4/mmm (No. 123) and the conventional cell measures 5.7133, 5.7133 and 3.5988 Å, with angles of 90.00, 90.00 and 90.00 degrees. The distinct sites, in fractional coordinates, are Li at (0.0000, 0.0000, 0.0000), Dy at (0.0000, 0.5000, 0.5000) and Th at (0.5000, 0.5000, 0.0000).

The value obtained for the total magnetic moment is 0.00 μB per atom. The density of states at the Fermi level is 5.25 states/eV/cell. As for the calculated volume: 29.4 A^3/atom.

Model ii:
A geometry-optimized LiDy2Th structure, computed with PBE-GGA.

The space group is P4/mmm (No. 123) and the conventional cell measures 3.6301, 3.6301 and 8.6708 Å, with angles of 90.00, 90.00 and 90.00 degrees. The distinct sites, in fractional coordinates, are Li at (0.0000, 0.0000, 0.0000), Dy at (0.5000, 0.5000, 0.2296) and Th at (0.0000, 0.0000, 0.5000).

The value obtained for the total magnetic moment is 0.00 μB per atom. The density of states at the Fermi level is 4.20 states/eV/cell. As for the calculated volume: 28.6 A^3/atom.

Model iii:
A geometry-optimized LiDy2Th structure, computed with PBE-GGA.

The space group is R3m (No. 160, hexagonal axes) and the conventional cell measures 3.4860, 3.4860 and 33.9890 Å, with angles of 90.00, 90.00 and 120.00 degrees. The distinct sites, in fractional coordinates, are Li at (0.0000, 0.0000, 0.0000), Dy at (0.0000, 0.0000, 0.4144), Dy at (0.0000, 0.0000, 0.5864) and Th at (0.0000, 0.0000, 0.8338).

The value obtained for the total magnetic moment is 0.00 μB per atom. The density of states at the Fermi level is 19.10 states/eV/cell. As for the calculated volume: 29.8 A^3/atom.

It is model i that is the least stable of them.

Model i:
A geometry-optimized LiDyTh2 structure, computed with PBE-GGA.

The space group is R-3m (No. 166, hexagonal axes) and the conventional cell measures 3.4350, 3.4350 and 37.5710 Å, with angles of 90.00, 90.00 and 120.00 degrees. The distinct sites, in fractional coordinates, are Li at (0.0000, 0.0000, 0.0000), Dy at (0.0000, 0.0000, 0.5000) and Th at (0.0000, 0.0000, 0.0881).

The value obtained for the total magnetic moment is 0.00 μB per atom. The density of states at the Fermi level is 14.56 states/eV/cell. As for the calculated volume: 32.0 A^3/atom.

Model ii:
A geometry-optimized LiDyTh2 structure, computed with PBE-GGA.

The space group is R3m (No. 160, hexagonal axes) and the conventional cell measures 3.4875, 3.4875 and 34.4800 Å, with angles of 90.00, 90.00 and 120.00 degrees. The distinct sites, in fractional coordinates, are Li at (0.0000, 0.0000, 0.0000), Dy at (0.0000, 0.0000, 0.1672), Th at (0.0000, 0.0000, 0.4151) and Th at (0.0000, 0.0000, 0.5852).

The value obtained for the total magnetic moment is 0.00 μB per atom. The density of states at the Fermi level is 16.64 states/eV/cell. As for the calculated volume: 30.3 A^3/atom.

Model iii:
A geometry-optimized LiDyTh2 structure, computed with PBE-GGA.

The space group is P4/mmm (No. 123) and the conventional cell measures 3.4847, 3.4847 and 9.5670 Å, with angles of 90.00, 90.00 and 90.00 degrees. The distinct sites, in fractional coordinates, are Li at (0.0000, 0.0000, 0.0000), Dy at (0.0000, 0.0000, 0.5000) and Th at (0.5000, 0.5000, 0.2311).

The value obtained for the total magnetic moment is 0.00 μB per atom. The density of states at the Fermi level is 3.64 states/eV/cell. As for the calculated volume: 29.0 A^3/atom.

It is model i that is the least stable of them.

Model i:
A geometry-optimized LiDy2Ti structure, computed with PBE-GGA.

The space group is P4/mmm (No. 123) and the conventional cell measures 3.4263, 3.4263 and 8.4997 Å, with angles of 90.00, 90.00 and 90.00 degrees. The distinct sites, in fractional coordinates, are Li at (0.0000, 0.0000, 0.0000), Dy at (0.5000, 0.5000, 0.2659) and Ti at (0.0000, 0.0000, 0.5000).

The value obtained for the total magnetic moment is 0.00 μB per atom. The density of states at the Fermi level is 3.77 states/eV/cell. As for the calculated volume: 24.9 A^3/atom.

Model ii:
A geometry-optimized LiDy2Ti structure, computed with PBE-GGA.

The space group is R-3m (No. 166, hexagonal axes) and the conventional cell measures 3.2163, 3.2163 and 34.4173 Å, with angles of 90.00, 90.00 and 120.00 degrees. The distinct sites, in fractional coordinates, are Li at (0.0000, 0.0000, 0.0000), Dy at (0.0000, 0.0000, 0.4153) and Ti at (0.0000, 0.0000, 0.5000).

The value obtained for the total magnetic moment is 0.40 μB per atom. The density of states at the Fermi level is 15.45 states/eV/cell. As for the calculated volume: 25.7 A^3/atom.

It is model ii that is the least stable of them.